Record 1
A geometry-optimized V2CrRe4 structure, computed with PBE.

```
7
Lattice="-1.196 1.128 4.073 -1.923 -3.915 0.520 3.713 -3.693 4.482" Properties=species:S:1:pos:R:3 pbc="T T T"
Re -1.138 -3.650 5.414
Re -0.961 -1.958 0.260
Re 1.733 -2.829 3.661
Re -0.598 0.564 2.037
V 0.839 -4.513 6.233
V -0.244 -1.967 2.842
Cr 0.000 0.000 0.000
```

Properties
Spin magnetization in μB per cell: 0.0
SG: No. 139
N(E_F) in states/eV/atom: 1.19
E_form in eV per atom: 1.336

Record 2
A geometry-optimized KFe2As structure, computed with PBE.

```
4
Lattice="5.621 -0.055 0.000 -2.521 5.025 0.000 0.000 0.000 2.692" Properties=species:S:1:pos:R:3 pbc="T T T"
As -1.260 2.512 1.346
Fe 0.000 0.000 0.000
Fe 1.550 2.485 0.000
K 2.811 -0.027 1.346
```

Properties
Spin magnetization in μB per cell: 5.7
SG: No. 65
N(E_F) in states/eV/atom: 1.44
E_form in eV per atom: 1.011